1.
# Pm4Te2Pb | the Alexandria database | PBE | relaxed
data_Pm4Te2Pb
_space_group_name_H-M_alt 'P 1'
_space_group_IT_number 1
_space_group_name_Hall 'P 1'
_cell_length_a 9.881
_cell_length_b 8.495
_cell_length_c 8.486
_cell_angle_alpha 71.17
_cell_angle_beta 54.46
_cell_angle_gamma 54.38
loop_
_atom_site_label
_atom_site_type_symbol
_atom_site_fract_x
_atom_site_fract_y
_atom_site_fract_z
_atom_site_occupancy
Pm1 Pm 0.124 0.314 0.315 1
Pm2 Pm 0.253 0.685 0.686 1
Pm3 Pm 0.314 0.124 0.747 1
Pm4 Pm 0.315 0.747 0.124 1
Pm5 Pm 0.685 0.253 0.876 1
Pm6 Pm 0.686 0.876 0.253 1
Pm7 Pm 0.747 0.315 0.314 1
Pm8 Pm 0.876 0.686 0.685 1
Te1 Te 0.000 0.000 0.000 1
Te2 Te 0.000 0.000 0.500 1
Te3 Te 0.000 0.500 0.000 1
Te4 Te 0.500 0.000 0.000 1
Pb1 Pb 0.375 0.375 0.375 1
Pb2 Pb 0.625 0.625 0.625 1
# * density of states at the Fermi level: 12.15 states/eV per cell
# * final energy: -70.70 eV for the cell shown
# * mass density: 7.35 g/cm³
# * space-group type: Fddd (70)

2.
# Pm3TePb2 | the Alexandria database | PBE | relaxed
data_Pm3TePb2
_space_group_name_H-M_alt 'P 1'
_space_group_IT_number 1
_space_group_name_Hall 'P 1'
_cell_length_a 7.899
_cell_length_b 7.899
_cell_length_c 7.899
_cell_angle_alpha 147.16
_cell_angle_beta 132.19
_cell_angle_gamma 59.21
loop_
_atom_site_label
_atom_site_type_symbol
_atom_site_fract_x
_atom_site_fract_y
_atom_site_fract_z
_atom_site_occupancy
Pm1 Pm 0.000 0.000 0.000 1
Pm2 Pm 0.335 0.335 0.000 1
Pm3 Pm 0.665 0.665 0.000 1
Te1 Te 0.500 0.000 0.500 1
Pb1 Pb 0.165 0.665 0.500 1
Pb2 Pb 0.835 0.335 0.500 1
# * density of states at the Fermi level: 3.09 states/eV per cell
# * final energy: -29.83 eV for the cell shown
# * mass density: 8.26 g/cm³
# * space-group type: Immm (71)

3.
# PmTe5Pb4 | the Alexandria database | PBE | relaxed
data_PmTe5Pb4
_space_group_name_H-M_alt 'P 1'
_space_group_IT_number 1
_space_group_name_Hall 'P 1'
_cell_length_a 12.930
_cell_length_b 12.930
_cell_length_c 12.930
_cell_angle_alpha 160.40
_cell_angle_beta 150.89
_cell_angle_gamma 35.34
loop_
_atom_site_label
_atom_site_type_symbol
_atom_site_fract_x
_atom_site_fract_y
_atom_site_fract_z
_atom_site_occupancy
Pm1 Pm 0.000 0.000 0.000 1
Te1 Te 0.093 0.593 0.500 1
Te2 Te 0.298 0.798 0.500 1
Te3 Te 0.500 0.000 0.500 1
Te4 Te 0.702 0.202 0.500 1
Te5 Te 0.907 0.407 0.500 1
Pb1 Pb 0.205 0.205 0.000 1
Pb2 Pb 0.400 0.400 0.000 1
Pb3 Pb 0.600 0.600 0.000 1
Pb4 Pb 0.795 0.795 0.000 1
# * density of states at the Fermi level: 4.33 states/eV per cell
# * final energy: -41.06 eV for the cell shown
# * mass density: 7.59 g/cm³
# * space-group type: Immm (71)

4.
# PmTePb2 | the Alexandria database | PBE | relaxed
data_PmTePb2
_space_group_name_H-M_alt 'P 1'
_space_group_IT_number 1
_space_group_name_Hall 'P 1'
_cell_length_a 4.523
_cell_length_b 4.523
_cell_length_c 5.963
_cell_angle_alpha 90.00
_cell_angle_beta 90.00
_cell_angle_gamma 90.00
loop_
_atom_site_label
_atom_site_type_symbol
_atom_site_fract_x
_atom_site_fract_y
_atom_site_fract_z
_atom_site_occupancy
Pm1 Pm 0.000 0.000 0.000 1
Te1 Te 0.500 0.500 0.000 1
Pb1 Pb 0.000 0.500 0.500 1
Pb2 Pb 0.500 0.000 0.500 1
# * density of states at the Fermi level: 2.07 states/eV per cell
# * final energy: -17.28 eV for the cell shown
# * mass density: 9.35 g/cm³
# * space-group type: P4/mmm (123)

5.
# Pm3Te6Pb | the Alexandria database | PBE | relaxed
data_Pm3Te6Pb
_space_group_name_H-M_alt 'P 1'
_space_group_IT_number 1
_space_group_name_Hall 'P 1'
_cell_length_a 12.991
_cell_length_b 4.465
_cell_length_c 13.190
_cell_angle_alpha 90.00
_cell_angle_beta 109.29
_cell_angle_gamma 90.00
loop_
_atom_site_label
_atom_site_type_symbol
_atom_site_fract_x
_atom_site_fract_y
_atom_site_fract_z
_atom_site_occupancy
Pm1 Pm 0.062 0.250 0.164 1
Pm2 Pm 0.175 0.750 0.495 1
Pm3 Pm 0.348 0.250 0.922 1
Pm4 Pm 0.652 0.750 0.078 1
Pm5 Pm 0.825 0.250 0.505 1
Pm6 Pm 0.938 0.750 0.836 1
Te1 Te 0.008 0.250 0.379 1
Te2 Te 0.113 0.250 0.944 1
Te3 Te 0.231 0.750 0.273 1
Te4 Te 0.297 0.750 0.745 1
Te5 Te 0.370 0.250 0.519 1
Te6 Te 0.418 0.750 0.097 1
Te7 Te 0.582 0.250 0.903 1
Te8 Te 0.630 0.750 0.481 1
Te9 Te 0.703 0.250 0.255 1
Te10 Te 0.769 0.250 0.727 1
Te11 Te 0.887 0.750 0.056 1
Te12 Te 0.992 0.750 0.621 1
Pb1 Pb 0.487 0.250 0.322 1
Pb2 Pb 0.513 0.750 0.678 1
# * density of states at the Fermi level: 15.36 states/eV per cell
# * final energy: -95.11 eV for the cell shown
# * mass density: 6.47 g/cm³
# * space-group type: P2_1/m (11)

6.
# Pm6TePb2 | the Alexandria database | PBE | relaxed
data_Pm6TePb2
_space_group_name_H-M_alt 'P 1'
_space_group_IT_number 1
_space_group_name_Hall 'P 1'
_cell_length_a 8.629
_cell_length_b 8.629
_cell_length_c 4.405
_cell_angle_alpha 90.00
_cell_angle_beta 90.00
_cell_angle_gamma 120.00
loop_
_atom_site_label
_atom_site_type_symbol
_atom_site_fract_x
_atom_site_fract_y
_atom_site_fract_z
_atom_site_occupancy
Pm1 Pm 0.000 0.402 0.000 1
Pm2 Pm 0.000 0.735 0.500 1
Pm3 Pm 0.265 0.265 0.500 1
Pm4 Pm 0.402 0.000 0.000 1
Pm5 Pm 0.598 0.598 0.000 1
Pm6 Pm 0.735 0.000 0.500 1
Te1 Te 0.000 0.000 0.000 1
Pb1 Pb 0.333 0.667 0.500 1
Pb2 Pb 0.667 0.333 0.500 1
# * density of states at the Fermi level: 10.67 states/eV per cell
# * final energy: -44.34 eV for the cell shown
# * mass density: 8.25 g/cm³
# * space-group type: P-62m (189)

7.
# Pm10Te3Pb3 | the Alexandria database | PBE | relaxed
data_Pm10Te3Pb3
_space_group_name_H-M_alt 'P 1'
_space_group_IT_number 1
_space_group_name_Hall 'P 1'
_cell_length_a 9.341
_cell_length_b 9.341
_cell_length_c 6.500
_cell_angle_alpha 90.00
_cell_angle_beta 90.00
_cell_angle_gamma 120.00
loop_
_atom_site_label
_atom_site_type_symbol
_atom_site_fract_x
_atom_site_fract_y
_atom_site_fract_z
_atom_site_occupancy
Pm1 Pm 0.000 0.246 0.000 1
Pm2 Pm 0.000 0.752 0.500 1
Pm3 Pm 0.246 0.000 0.000 1
Pm4 Pm 0.248 0.248 0.500 1
Pm5 Pm 0.333 0.667 0.251 1
Pm6 Pm 0.333 0.667 0.749 1
Pm7 Pm 0.667 0.333 0.251 1
Pm8 Pm 0.667 0.333 0.749 1
Pm9 Pm 0.752 0.000 0.500 1
Pm10 Pm 0.754 0.754 0.000 1
Te1 Te 0.000 0.384 0.500 1
Te2 Te 0.384 0.000 0.500 1
Te3 Te 0.616 0.616 0.500 1
Pb1 Pb 0.000 0.611 0.000 1
Pb2 Pb 0.389 0.389 0.000 1
Pb3 Pb 0.611 0.000 0.000 1
# * density of states at the Fermi level: 15.87 states/eV per cell
# * final energy: -81.07 eV for the cell shown
# * mass density: 8.30 g/cm³
# * space-group type: P-62m (189)

8.
# Pm4TePb | the Alexandria database | PBE | relaxed
data_Pm4TePb
_space_group_name_H-M_alt 'P 1'
_space_group_IT_number 1
_space_group_name_Hall 'P 1'
_cell_length_a 8.550
_cell_length_b 8.550
_cell_length_c 8.550
_cell_angle_alpha 106.28
_cell_angle_beta 106.28
_cell_angle_gamma 116.07
loop_
_atom_site_label
_atom_site_type_symbol
_atom_site_fract_x
_atom_site_fract_y
_atom_site_fract_z
_atom_site_occupancy
Pm1 Pm 0.194 0.493 0.702 1
Pm2 Pm 0.243 0.041 0.798 1
Pm3 Pm 0.243 0.444 0.202 1
Pm4 Pm 0.294 0.000 0.294 1
Pm5 Pm 0.706 0.000 0.706 1
Pm6 Pm 0.750 0.544 0.794 1
Pm7 Pm 0.750 0.956 0.206 1
Pm8 Pm 0.791 0.493 0.298 1
Te1 Te 0.743 0.243 0.500 1
Te2 Te 0.993 0.993 0.000 1
Pb1 Pb 0.251 0.751 0.500 1
Pb2 Pb 0.501 0.501 0.000 1
# * density of states at the Fermi level: 21.87 states/eV per cell
# * final energy: -55.38 eV for the cell shown
# * mass density: 6.38 g/cm³
# * space-group type: I4_1md (109)